Entry 1:
ZrTaBi: relaxed, PBE. Values from VASP.

```
&SYSTEM
  ibrav = 0, nat = 6, ntyp = 3
/
ATOMIC_SPECIES
Zr 91.22 Zr.upf
Ta 180.95 Ta.upf
Bi 208.98 Bi.upf
CELL_PARAMETERS angstrom
3.7193 0.0000 0.0000
0.0000 3.7193 0.0000
0.0000 0.0000 10.1885
ATOMIC_POSITIONS angstrom
Zr 0.9298 0.9298 2.3258
Zr 2.7895 2.7895 7.8628
Ta 0.9298 0.9298 9.5248
Ta 2.7895 2.7895 0.6637
Bi 0.9298 0.9298 6.3260
Bi 2.7895 2.7895 3.8625
```

Output
energy of formation from the pure elements = -0.067 eV per atom



Entry 2:
NbCo2Br: relaxed, PBE. Values from VASP.

```
&SYSTEM
  ibrav = 0, nat = 8, ntyp = 3
/
ATOMIC_SPECIES
Nb 92.91 Nb.upf
Co 58.93 Co.upf
Br 79.90 Br.upf
CELL_PARAMETERS angstrom
-2.8708 2.8708 4.6874
2.8708 -2.8708 4.6874
2.8708 2.8708 -4.6874
ATOMIC_POSITIONS angstrom
Nb 0.0000 0.0000 0.0000
Nb 0.0000 2.8708 2.3437
Co 1.4354 -1.4050 3.5155
Co 1.4658 1.4354 1.1718
Co 1.4354 4.2758 -1.1718
Co 1.4050 1.4354 5.8592
Br 2.8708 0.0000 2.3437
Br 0.0000 0.0000 4.6874
```

Output
formation energy (no corrections) = 73.8 kJ per mole of atoms
polymorph energy (0 for the lowest one) = 0.0 meV/atom



Entry 3:
Ni2AgHPt: relaxed, PBE. Values from VASP.

```
&SYSTEM
  ibrav = 0, nat = 5, ntyp = 4
/
ATOMIC_SPECIES
Ni 58.69 Ni.upf
Ag 107.87 Ag.upf
H 1.01 H.upf
Pt 195.08 Pt.upf
CELL_PARAMETERS angstrom
3.8406 0.0000 0.0000
0.0000 3.8406 0.0000
0.0000 0.0000 3.9207
ATOMIC_POSITIONS angstrom
Ni 0.0000 1.9203 0.0000
Ni 1.9203 0.0000 0.0000
Ag 0.0000 0.0000 1.9603
H 0.0000 0.0000 0.0000
Pt 1.9203 1.9203 1.9603
```

Output
polymorph energy (0 for the lowest one) = 80.1 meV/atom



Entry 4:
MoPPdCl2: relaxed, PBE. Values from VASP.

```
&SYSTEM
  ibrav = 0, nat = 5, ntyp = 4
/
ATOMIC_SPECIES
Mo 95.94 Mo.upf
P 30.97 P.upf
Pd 106.42 Pd.upf
Cl 35.45 Cl.upf
CELL_PARAMETERS angstrom
4.7589 0.0000 0.0000
0.0000 4.7589 0.0000
0.0000 0.0000 4.7587
ATOMIC_POSITIONS angstrom
Mo 0.0000 0.0000 0.0000
P 0.0000 0.0000 2.3793
Pd 2.3795 2.3795 2.3793
Cl 0.0000 2.3795 0.0000
Cl 2.3795 0.0000 0.0000
```

Output
formation energy (no corrections) = 35.4 kJ per mole of atoms
polymorph energy (0 for the lowest one) = 0.0 meV/atom



| no. | V (Å³ per atom) | final energy (eV per cell) |
| --- | --- | --- |
| 1 | 23.49 | -48.97 |
| 2 | 19.32 | -45.79 |
| 3 | 11.57 | -22.95 |
| 4 | 21.55 | -23.29 |